Record 1
Here is an optimized crystal structure of ZrAsSe2Br from the Alexandria database. Energies are from GGA-PBEsol.

The calculation puts the formation energy from raw total energies at 737 meV per atom. The calculation puts the electronic total energy at -4.0161 eV per atom. Its density of states at the Fermi level is 4.363 states/eV per cell.

a b c (Å): 4.876 4.876 5.047
angles (deg): 90.00 90.00 90.00
Sites, in units of the cell vectors:
Zr 0.000 0.000 0.000
As 0.500 0.500 0.000
Se 0.000 0.500 0.500
Se 0.500 0.000 0.500
Br 0.500 0.500 0.500

Record 2
Here is an optimized crystal structure of MnCdTe2 from the Alexandria database. Energies are from GGA-PBEsol.

The calculation puts the formation energy from raw total energies at 240 meV per atom. The calculation puts the electronic total energy at -4.2621 eV per atom. Its density of states at the Fermi level is 1.881 states/eV per cell.

a b c (Å): 3.891 4.130 6.538
angles (deg): 90.00 90.00 90.00
Sites, in units of the cell vectors:
Mn 0.000 0.000 0.000
Cd 0.000 0.500 0.500
Te 0.500 0.000 0.500
Te 0.500 0.500 0.000

Record 3
Here is an optimized crystal structure of CaAl4Si2O11 from the Alexandria database. Energies are from GGA-PBEsol.

The calculation puts the formation energy from raw total energies at -2988 meV per atom. The calculation puts the electronic total energy at -7.8620 eV per atom. Its density of states at the Fermi level is 0.000 states/eV per cell.

a b c (Å): 5.444 5.444 12.621
angles (deg): 90.05 90.05 119.91
Sites, in units of the cell vectors:
Ca 0.167 0.833 0.500
Ca 0.833 0.167 0.000
Al 0.003 0.504 0.754
Al 0.168 0.834 0.017
Al 0.493 0.498 0.401
Al 0.498 0.493 0.901
Al 0.504 0.003 0.254
Al 0.505 0.511 0.607
Al 0.511 0.505 0.107
Al 0.834 0.168 0.517
Si 0.001 0.003 0.255
Si 0.001 0.498 0.255
Si 0.003 0.001 0.755
Si 0.498 0.001 0.755
O 0.147 0.312 0.832
O 0.151 0.326 0.177
O 0.159 0.829 0.174
O 0.174 0.847 0.831
O 0.199 0.354 0.508
O 0.311 0.666 0.332
O 0.312 0.147 0.332
O 0.326 0.151 0.677
O 0.338 0.693 0.676
O 0.352 0.652 0.004
O 0.354 0.199 0.008
O 0.650 0.805 0.500
O 0.652 0.352 0.504
O 0.666 0.311 0.832
O 0.678 0.855 0.830
O 0.693 0.338 0.176
O 0.693 0.856 0.175
O 0.805 0.650 0.000
O 0.829 0.159 0.674
O 0.847 0.174 0.331
O 0.855 0.678 0.330
O 0.856 0.693 0.675

Record 4
Here is an optimized crystal structure of Y2TaSb from the Alexandria database. Energies are from GGA-PBEsol.

The calculation puts the formation energy from raw total energies at -144 meV per atom. The calculation puts the electronic total energy at -7.8321 eV per atom. Its density of states at the Fermi level is 5.425 states/eV per cell.

a b c (Å): 4.700 4.700 4.212
angles (deg): 90.00 90.00 90.00
Sites, in units of the cell vectors:
Y 0.000 0.500 0.000
Y 0.500 0.000 0.000
Ta 0.000 0.000 0.500
Sb 0.500 0.500 0.500

- formation energy from raw total energies of number 2 (MnCdTe2)?
  240 meV per atom

- Among the records above, which one has the lowest electronic total energy?
  CaAl4Si2O11

- Which value of formation energy from raw total energies does entry 1 give?
  737 meV per atom